# PmNdEr2S4

Crystalline PmNdEr2S4 at its relaxed geometry (PBE, the Alexandria database).

Output
* E_form (uncorrected): -1.999 eV per atom

```
data_PmNdEr2S4
_chemical_formula_sum 'Pm1 Nd1 Er2 S4'
_symmetry_space_group_name_H-M 'P 1 2/m 1'
_symmetry_Int_Tables_number 10
_cell_length_a 6.792
_cell_length_b 3.896
_cell_length_c 7.003
_cell_angle_alpha 90.00
_cell_angle_beta 108.68
_cell_angle_gamma 90.00
loop_
_symmetry_equiv_pos_as_xyz
'x,y,z'
'-x,-y,-z'
'-x,y,-z'
'x,-y,z'
loop_
_atom_site_label
_atom_site_fract_x
_atom_site_fract_y
_atom_site_fract_z
_atom_site_occupancy
Pm1 0.000 0.000 0.000 1
Nd1 0.500 0.500 0.000 1
Er1 0.000 0.500 0.500 1
Er2 0.500 0.000 0.500 1
S1 0.242 0.000 0.731 1
S2 0.255 0.500 0.268 1
```